1.
# BaNd4Se6 | Alexandria | GGA-PBE | relaxed
# M_tot: 0.0 μB per formula unit
# Raw total energy: -5.72 eV/atom
data_BaNd4Se6
_cell_length_a 4.281
_cell_length_b 14.011
_cell_length_c 21.876
_cell_angle_alpha 90.00
_cell_angle_beta 90.00
_cell_angle_gamma 90.00
_symmetry_space_group_name_H-M 'C m c m'
_symmetry_Int_Tables_number 63
_symmetry_space_group_name_Hall '-C 2c 2'
loop_
_atom_site_label
_atom_site_fract_x
_atom_site_fract_y
_atom_site_fract_z
_atom_site_occupancy
Ba1 0.000 0.160 0.250 1
Nd1 0.000 0.094 0.627 1
Nd2 0.000 0.362 0.540 1
Se1 0.000 0.000 0.000 1
Se2 0.000 0.168 0.750 1
Se3 0.000 0.268 0.087 1
Se4 0.000 0.458 0.660 1



2.
# BaNdSe2 | Alexandria | GGA-PBE | relaxed
# M_tot: 0.0 μB per formula unit
# Raw total energy: -5.27 eV/atom
data_BaNdSe2
_cell_length_a 4.3166
_cell_length_b 4.3166
_cell_length_c 23.3195
_cell_angle_alpha 90.00
_cell_angle_beta 90.00
_cell_angle_gamma 120.00
_symmetry_space_group_name_H-M 'R 3 m'
_symmetry_Int_Tables_number 160
_symmetry_space_group_name_Hall 'R 3 -2"'
loop_
_atom_site_label
_atom_site_fract_x
_atom_site_fract_y
_atom_site_fract_z
_atom_site_occupancy
Ba1 0.0000 0.0000 0.0000 1
Nd1 0.0000 0.0000 0.1733 1
Se1 0.0000 0.0000 0.5780 1
Se2 0.0000 0.0000 0.7640 1



3.
# BaNd5Se8 | Alexandria | GGA-PBE | relaxed
# M_tot: 0.0 μB per formula unit
# Raw total energy: -5.62 eV/atom
data_BaNd5Se8
_cell_length_a 12.523
_cell_length_b 12.523
_cell_length_c 12.523
_cell_angle_alpha 90.00
_cell_angle_beta 90.00
_cell_angle_gamma 90.00
_symmetry_space_group_name_H-M 'F -4 3 m'
_symmetry_Int_Tables_number 216
_symmetry_space_group_name_Hall 'F -4 2 3'
loop_
_atom_site_label
_atom_site_fract_x
_atom_site_fract_y
_atom_site_fract_z
_atom_site_occupancy
Ba1 0.000 0.000 0.000 1
Nd1 0.127 0.127 0.373 1
Nd2 0.250 0.250 0.750 1
Se1 0.118 0.118 0.618 1
Se2 0.141 0.141 0.141 1



4.
# Ba3NdSe4 | Alexandria | GGA-PBE | relaxed
# M_tot: 0.0 μB per formula unit
# Raw total energy: -5.02 eV/atom
data_Ba3NdSe4
_cell_length_a 9.216
_cell_length_b 12.947
_cell_length_c 4.551
_cell_angle_alpha 90.00
_cell_angle_beta 90.00
_cell_angle_gamma 90.00
_symmetry_space_group_name_H-M 'C m m m'
_symmetry_Int_Tables_number 65
_symmetry_space_group_name_Hall '-C 2 2'
loop_
_atom_site_label
_atom_site_fract_x
_atom_site_fract_y
_atom_site_fract_z
_atom_site_occupancy
Ba1 0.000 0.000 0.000 1
Ba2 0.250 0.250 0.500 1
Nd1 0.000 0.500 0.000 1
Se1 0.000 0.263 0.000 1
Se2 0.228 0.500 0.500 1



5.
# BaNdSe2 | Alexandria | GGA-PBE | relaxed
# M_tot: 0.0 μB per formula unit
# Raw total energy: -5.33 eV/atom
data_BaNdSe2
_cell_length_a 4.3898
_cell_length_b 4.3898
_cell_length_c 22.3715
_cell_angle_alpha 90.00
_cell_angle_beta 90.00
_cell_angle_gamma 120.00
_symmetry_space_group_name_H-M 'R -3 m'
_symmetry_Int_Tables_number 166
_symmetry_space_group_name_Hall '-R 3 2"'
loop_
_atom_site_label
_atom_site_fract_x
_atom_site_fract_y
_atom_site_fract_z
_atom_site_occupancy
Ba1 0.0000 0.0000 0.0000 1
Nd1 0.0000 0.0000 0.5000 1
Se1 0.0000 0.0000 0.2409 1



6.
# BaNd5Se6 | Alexandria | GGA-PBE | relaxed
# M_tot: 0.0 μB per formula unit
# Raw total energy: -5.73 eV/atom
data_BaNd5Se6
_cell_length_a 7.430
_cell_length_b 12.873
_cell_length_c 7.475
_cell_angle_alpha 90.00
_cell_angle_beta 109.41
_cell_angle_gamma 90.00
_symmetry_space_group_name_H-M 'C 1 2/m 1'
_symmetry_Int_Tables_number 12
loop_
_symmetry_equiv_pos_as_xyz
'x,y,z'
'-x,-y,-z'
'-x,y,-z'
'x,-y,z'
'x+1/2,y+1/2,z'
'-x+1/2,-y+1/2,-z'
'-x+1/2,y+1/2,-z'
'x+1/2,-y+1/2,z'
loop_
_atom_site_label
_atom_site_fract_x
_atom_site_fract_y
_atom_site_fract_z
_atom_site_occupancy
Ba1 0.000 0.000 0.000 1
Nd1 0.000 0.160 0.500 1
Nd2 0.000 0.333 0.000 1
Nd3 0.000 0.500 0.500 1
Se1 0.237 0.500 0.252 1
Se2 0.240 0.327 0.739 1



7.
# Ba4NdSe5 | Alexandria | GGA-PBE | relaxed
# M_tot: 0.0 μB per formula unit
# Raw total energy: -4.94 eV/atom
data_Ba4NdSe5
_cell_length_a 4.617
_cell_length_b 4.617
_cell_length_c 32.665
_cell_angle_alpha 90.00
_cell_angle_beta 90.00
_cell_angle_gamma 90.00
_symmetry_space_group_name_H-M 'I 4/m m m'
_symmetry_Int_Tables_number 139
_symmetry_space_group_name_Hall '-I 4 2'
loop_
_atom_site_label
_atom_site_fract_x
_atom_site_fract_y
_atom_site_fract_z
_atom_site_occupancy
Ba1 0.000 0.000 0.098 1
Ba2 0.000 0.000 0.301 1
Nd1 0.000 0.000 0.500 1
Se1 0.000 0.000 0.000 1
Se2 0.000 0.000 0.199 1
Se3 0.000 0.000 0.407 1



8.
# BaNdSe2 | Alexandria | GGA-PBE | relaxed
# M_tot: 0.0 μB per formula unit
# Raw total energy: -5.32 eV/atom
data_BaNdSe2
_cell_length_a 4.3600
_cell_length_b 4.3600
_cell_length_c 15.1055
_cell_angle_alpha 90.00
_cell_angle_beta 90.00
_cell_angle_gamma 120.00
_symmetry_space_group_name_H-M 'P 63/m m c'
_symmetry_Int_Tables_number 194
_symmetry_space_group_name_Hall '-P 6c 2c'
loop_
_atom_site_label
_atom_site_fract_x
_atom_site_fract_y
_atom_site_fract_z
_atom_site_occupancy
Ba1 0.3333 0.6667 0.2500 1
Nd1 0.0000 0.0000 0.0000 1
Se1 0.3333 0.6667 0.6107 1



9.
# Ba2NdSe3 | Alexandria | GGA-PBE | relaxed
# M_tot: 0.0 μB per formula unit
# Raw total energy: -5.12 eV/atom
data_Ba2NdSe3
_cell_length_a 7.823
_cell_length_b 13.535
_cell_length_c 7.908
_cell_angle_alpha 90.00
_cell_angle_beta 109.30
_cell_angle_gamma 90.00
_symmetry_space_group_name_H-M 'C 1 2/m 1'
_symmetry_Int_Tables_number 12
loop_
_symmetry_equiv_pos_as_xyz
'x,y,z'
'-x,-y,-z'
'-x,y,-z'
'x,-y,z'
'x+1/2,y+1/2,z'
'-x+1/2,-y+1/2,-z'
'-x+1/2,y+1/2,-z'
'x+1/2,-y+1/2,z'
loop_
_atom_site_label
_atom_site_fract_x
_atom_site_fract_y
_atom_site_fract_z
_atom_site_occupancy
Ba1 0.000 0.000 0.000 1
Ba2 0.000 0.162 0.500 1
Ba3 0.000 0.500 0.500 1
Nd1 0.000 0.333 0.000 1
Se1 0.224 0.500 0.225 1
Se2 0.247 0.324 0.770 1



10.
# Ba2NdSmSe4 | Alexandria | GGA-PBE | relaxed
# M_tot: 0.0 μB per formula unit
# Raw total energy: -5.32 eV/atom
data_Ba2NdSmSe4
_cell_length_a 7.568
_cell_length_b 4.380
_cell_length_c 7.851
_cell_angle_alpha 90.00
_cell_angle_beta 108.83
_cell_angle_gamma 90.00
_symmetry_space_group_name_H-M 'P 1 2/m 1'
_symmetry_Int_Tables_number 10
loop_
_symmetry_equiv_pos_as_xyz
'x,y,z'
'-x,-y,-z'
'-x,y,-z'
'x,-y,z'
loop_
_atom_site_label
_atom_site_fract_x
_atom_site_fract_y
_atom_site_fract_z
_atom_site_occupancy
Ba1 0.000 0.000 0.000 1
Ba2 0.500 0.500 0.000 1
Nd1 0.000 0.500 0.500 1
Sm1 0.500 0.000 0.500 1
Se1 0.243 0.000 0.721 1
Se2 0.262 0.500 0.280 1



11.
# Ba3Nd2SmSe6 | Alexandria | GGA-PBE | relaxed
# M_tot: 0.0 μB per formula unit
# Raw total energy: -5.32 eV/atom
data_Ba3Nd2SmSe6
_cell_length_a 7.593
_cell_length_b 13.138
_cell_length_c 7.850
_cell_angle_alpha 90.00
_cell_angle_beta 108.82
_cell_angle_gamma 90.00
_symmetry_space_group_name_H-M 'C 1 2/m 1'
_symmetry_Int_Tables_number 12
loop_
_symmetry_equiv_pos_as_xyz
'x,y,z'
'-x,-y,-z'
'-x,y,-z'
'x,-y,z'
'x+1/2,y+1/2,z'
'-x+1/2,-y+1/2,-z'
'-x+1/2,y+1/2,-z'
'x+1/2,-y+1/2,z'
loop_
_atom_site_label
_atom_site_fract_x
_atom_site_fract_y
_atom_site_fract_z
_atom_site_occupancy
Ba1 0.000 0.000 0.000 1
Ba2 0.000 0.332 0.000 1
Nd1 0.000 0.166 0.500 1
Sm1 0.000 0.500 0.500 1
Se1 0.239 0.335 0.721 1
Se2 0.244 0.000 0.722 1



12.
# Ba3NdSm3Se8 | Alexandria | GGA-PBE | relaxed
# M_tot: 0.0 μB per formula unit
# Raw total energy: -5.44 eV/atom
data_Ba3NdSm3Se8
_cell_length_a 8.5997
_cell_length_b 8.5997
_cell_length_c 22.6329
_cell_angle_alpha 90.00
_cell_angle_beta 90.00
_cell_angle_gamma 120.00
_symmetry_space_group_name_H-M 'R -3 m'
_symmetry_Int_Tables_number 166
_symmetry_space_group_name_Hall '-R 3 2"'
loop_
_atom_site_label
_atom_site_fract_x
_atom_site_fract_y
_atom_site_fract_z
_atom_site_occupancy
Ba1 0.0000 0.5000 0.0000 1
Nd1 0.0000 0.0000 0.5000 1
Sm1 0.0000 0.5000 0.5000 1
Se1 0.0000 0.0000 0.2398 1
Se2 0.0037 0.5018 0.7606 1